# 1
The following is a GGA-PBE calculation of an optimized crystal structure of InReSeBr2, from the Alexandria database.

As for the formation energy (no corrections): 469.3 kJ/mol of formula units. The distance to the lowest polymorph of the same formula comes out at 0.8216 eV per atom. For the electronic total energy, the calculation gives -3.431 eV per atom. The density of states at the Fermi level is 1.38 states/eV/cell.

The structure belongs to space group P4/mmm (No. 123); the cell edges are 5.427, 5.427 and 5.376 Å and the angles 90.00°, 90.00° and 90.00°. The asymmetric unit holds In at (0.000, 0.000, 0.000), Re at (0.500, 0.500, 0.500), Se at (0.000, 0.000, 0.500) and Br at (0.000, 0.500, 0.000).

=====

# 2
The following is a GGA-PBE calculation of an optimized crystal structure of InReSe2Br, from the Alexandria database.

As for the formation energy (no corrections): 66.6 kJ/mol of formula units. The distance to the lowest polymorph of the same formula comes out at 0.0000 eV per atom. For the electronic total energy, the calculation gives -4.628 eV per atom. The density of states at the Fermi level is 1.25 states/eV/cell.

The structure belongs to space group P4/mmm (No. 123); the cell edges are 4.848, 4.848 and 5.552 Å and the angles 90.00°, 90.00° and 90.00°. The asymmetric unit holds In at (0.000, 0.000, 0.000), Re at (0.500, 0.500, 0.500), Se at (0.000, 0.500, 0.500) and Br at (0.500, 0.500, 0.000).